Ti2SnPb4: optimized geometry, PBE-GGA.

E_form (kcal/mol of atoms): 15.401
DFT total energy (eV per atom): -4.2787

a b c (Å): 5.7617 5.7617 13.9113
angles (deg): 90.00 90.00 90.00
Closest atoms and distances in Å follow each position.
Space group I4/mmm (No. 139)
Inequivalent atoms, fractional coordinates:
Ti1 0.0000 0.0000 0.0801 x4  1 Ti 2.23
Sn1 0.0000 0.0000 0.5000 x2  6 Pb 2.88-3.00
Pb1 0.0000 0.0000 0.2841 x4  1 Ti 2.84, 1 Sn 3.00
Pb2 0.0000 0.5000 0.0000 x4  2 Sn 2.88, 4 Ti 3.09